A plane-wave DFT calculation with PBE-GGA was carried out for a relaxed structure of CaTeMo2.

Summary:
- calculated volume (Å³ per atom) = 19.98
- Fermi-level density of states (states/eV per cell) = 5.2
- formation energy from raw total energies (eV/atom) = 0.48
- raw total energy (eV per atom) = -6.221

Cell: 4.0221 4.0221 4.9391 Å, 90.00 90.00 89.99°
Closest atoms and distances in Å follow each position.
Fractional coordinates of all 4 atoms:
Mo: 0.0000 0.0000 0.0000  4 Mo 2.84, 4 Te 3.18, 4 Ca 3.18
Mo: 0.5000 0.5000 0.0000  4 Mo 2.84, 4 Ca 3.18, 4 Te 3.18
Te: 0.5000 0.0000 0.5000  4 Ca 2.84, 8 Mo 3.18
Ca: 0.0000 0.5000 0.5000  4 Te 2.84, 8 Mo 3.18